1.
A plane-wave DFT calculation with PBE was carried out for a relaxed KCuO crystal.

abc: 4.4980 3.5468 3.5468
angles: 120.00 90.00 90.00
Closest atoms and distances in Å follow each position.
Element x y z (fractional)
K: 0.6665 0.6667 0.3333  6 O 3.04, 6 Cu 3.04
O: 0.1669 0.0000 0.0000  3 Cu 2.05
Cu: 0.1666 0.3333 0.6667  3 O 2.05

The magnetic moment comes out at 0.0 μB per cell. The formation energy (no corrections) is -58 kJ per mole of atoms.

***

2.
A plane-wave DFT calculation with PBE was carried out for a relaxed Cr3RuRh4 crystal.

abc: 3.7701 3.7695 7.9530
angles: 103.72 103.71 90.00
Closest atoms and distances in Å follow each position.
Element x y z (fractional)
Cr: 0.0000 0.5000 0.0000  4 Ru 2.67, 8 Rh 2.71
Cr: 0.7516 0.2516 0.5033  8 Rh 2.59-2.63, 4 Cr 2.67
Cr: 0.2484 0.7484 0.4967  8 Rh 2.59-2.63, 4 Cr 2.67
Rh: 0.3702 0.3703 0.7404  6 Cr 2.59-2.71, 4 Rh 2.67, 2 Ru 2.71
Rh: 0.6298 0.6297 0.2596  6 Cr 2.59-2.71, 4 Rh 2.67, 2 Ru 2.71
Rh: 0.1297 0.1296 0.2594  6 Cr 2.59-2.71, 4 Rh 2.67, 2 Ru 2.71
Rh: 0.8703 0.8704 0.7406  6 Cr 2.59-2.71, 4 Rh 2.67, 2 Ru 2.71
Ru: 0.5000 0.0000 0.0000  4 Cr 2.67, 8 Rh 2.71

The magnetic moment comes out at 1.1 μB per cell. The calculation puts the energy of formation at -0.049 eV per atom.

***

3.
A plane-wave DFT calculation with PBE was carried out for a relaxed NdY2Ag crystal.

abc: 3.6750 3.6750 10.5800
angles: 80.00 80.00 60.00
Closest atoms and distances in Å follow each position.
Element x y z (fractional)
Nd: 0.5003 0.5003 0.4990  6 Y 3.63-3.64, 6 Nd 3.67
Y: 0.0717 0.0717 0.7848  3 Ag 3.08
Y: 0.2616 0.2616 0.2153  3 Ag 3.07
Ag: 0.6664 0.6664 0.0008  6 Y 3.07-3.08

The magnetic moment comes out at 0.0 μB per cell. The calculation puts the energy of formation at -0.007 eV per atom. Its relative energy among the computed polymorphs is 132 meV/atom.

***

4.
A plane-wave DFT calculation with PBE was carried out for a relaxed SmYSn2 crystal.

abc: 4.5504 4.3374 6.1988
angles: 90.00 111.52 90.00
Closest atoms and distances in Å follow each position.
Element x y z (fractional)
Sm: 0.7174 0.0000 0.9741  7 Sn 3.15-3.47
Y: 0.4483 0.5000 0.4352  7 Sn 3.15-3.47
Sn: 0.1748 0.5000 0.8886  2 Sn 3.04, 1 Y 3.15, 4 Sm 3.18
Sn: 0.9905 0.0000 0.5200  2 Sn 3.04, 1 Sm 3.15, 4 Y 3.18

The magnetic moment comes out at 0.0 μB per cell. The calculation puts the energy of formation at -0.768 eV per atom.

***

5.
A plane-wave DFT calculation with PBE was carried out for a relaxed SrPr2VN4 crystal.

abc: 3.5424 6.4382 12.3668
angles: 90.00 90.00 105.97
Closest atoms and distances in Å follow each position.
Element x y z (fractional)
Sr: 0.0947 0.1894 0.7500  6 N 2.88-3.02
Sr: 0.9053 0.8106 0.2500  6 N 2.88-3.02
Pr: 0.3694 0.7388 0.5413  6 N 2.45-2.67
Pr: 0.6306 0.2612 0.0413  6 N 2.45-2.67
Pr: 0.6306 0.2612 0.4587  6 N 2.45-2.67
Pr: 0.3694 0.7388 0.9587  6 N 2.45-2.67
V: 0.8209 0.6419 0.7500  2 N 1.79
V: 0.1791 0.3581 0.2500  2 N 1.79
N: 0.2639 0.5277 0.1328  1 V 1.79
N: 0.7361 0.4723 0.6328  1 V 1.79
N: 0.7361 0.4723 0.8672  1 V 1.79
N: 0.2639 0.5277 0.3672  1 V 1.79
N: 0.0000 0.0000 0.5000  4 Pr 2.45
N: 0.0000 0.0000 0.0000  4 Pr 2.45
N: 0.3974 0.7947 0.7500  2 V 2.01
N: 0.6026 0.2053 0.2500  2 V 2.01

The magnetic moment comes out at 0.8 μB per cell. The formation energy (no corrections) is -107 kJ per mole of atoms.

***

6.
A plane-wave DFT calculation with PBE was carried out for a relaxed SnTeN2O crystal.

abc: 4.2046 4.2046 3.9801
angles: 90.00 90.00 90.00
Closest atoms and distances in Å follow each position.
Element x y z (fractional)
Te: 0.5000 0.5000 0.5000  8 N 2.89, 4 O 2.97
Sn: 0.0000 0.0000 0.0000  2 O 1.99, 4 N 2.10
O: 0.0000 0.0000 0.5000  2 Sn 1.99
N: 0.0000 0.5000 0.0000  2 Sn 2.10
N: 0.5000 0.0000 0.0000  2 Sn 2.10

The magnetic moment comes out at 0.0 μB per cell. The formation energy (no corrections) is 78 kJ per mole of atoms.

***

7.
A plane-wave DFT calculation with PBE was carried out for a relaxed BC2 crystal.

abc: 5.8520 5.8132 3.7714
angles: 90.25 89.31 142.58
Closest atoms and distances in Å follow each position.
Element x y z (fractional)
B: 0.8850 0.6977 0.2140  3 C 1.60-1.62
B: 0.4611 0.4820 0.5546  2 C 1.53-1.59, 1 B 1.63
B: 0.1273 0.2724 0.2769  2 C 1.54-1.59, 1 B 1.63
B: 0.3553 0.7096 0.9608  3 C 1.61-1.62
C: 0.1698 0.8366 0.5101  3 C 1.55-1.61, 1 B 1.60
C: 0.9877 0.4886 0.7447  3 C 1.55-1.61, 1 B 1.61
C: 0.8205 0.1674 0.5003  3 C 1.55-1.60, 1 B 1.59
C: 0.5004 0.9999 0.2632  3 C 1.55-1.62, 1 B 1.61
C: 0.6566 0.3218 0.9986  3 C 1.55-1.62, 1 B 1.61
C: 0.3390 0.1576 0.7586  3 C 1.55-1.61, 1 B 1.59
C: 0.0035 0.0133 0.9756  2 C 1.51-1.61, 2 B 1.54-1.62
C: 0.6936 0.8531 0.7427  2 C 1.51-1.60, 2 B 1.53-1.62

The magnetic moment comes out at 0.0 μB per cell. The calculation puts the energy of formation at 0.383 eV per atom. Its relative energy among the computed polymorphs is 143 meV/atom.

***

8.
A plane-wave DFT calculation with PBE was carried out for a relaxed TbCeTePt crystal.

abc: 4.2029 4.2028 7.8668
angles: 90.00 105.49 120.00
Closest atoms and distances in Å follow each position.
Element x y z (fractional)
Tb: 0.9430 0.3695 0.3277  3 Pt 2.88
Ce: 0.3297 0.5628 0.9078  3 Pt 2.90
Te: 0.4670 0.1314 0.6138  3 Tb 3.24, 3 Ce 3.28
Pt: 0.1381 0.9670 0.1204  3 Tb 2.88, 3 Ce 2.90

The magnetic moment comes out at 0.9 μB per cell. The formation energy (no corrections) is -116 kJ per mole of atoms.

***

9.
A plane-wave DFT calculation with PBE was carried out for a relaxed EuAgHgRh crystal.

abc: 4.9131 4.9131 4.9131
angles: 60.00 60.00 60.00
Closest atoms and distances in Å follow each position.
Element x y z (fractional)
Eu: 0.0000 0.0000 0.0000  4 Rh 3.01, 4 Ag 3.01
Rh: 0.7500 0.7500 0.7500  4 Hg 3.01, 4 Eu 3.01
Hg: 0.5000 0.5000 0.5000  4 Rh 3.01, 4 Ag 3.01
Ag: 0.2500 0.2500 0.2500  4 Hg 3.01, 4 Eu 3.01

The magnetic moment comes out at 6.9 μB per cell. The calculation puts the energy of formation at -0.140 eV per atom.

***

10.
A plane-wave DFT calculation with PBE was carried out for a relaxed Pa2MnGe4Pt3 crystal.

abc: 4.1200 4.1200 10.6755
angles: 90.00 90.00 90.00
Closest atoms and distances in Å follow each position.
Element x y z (fractional)
Pa: 0.5000 0.0000 0.2725  4 Ge 3.11, 2 Mn 3.18, 6 Pt 3.18-3.21
Pa: 0.0000 0.5000 0.7275  4 Ge 3.11, 2 Mn 3.18, 6 Pt 3.18-3.21
Mn: 0.5000 0.5000 0.5000  4 Ge 2.46
Ge: 0.5000 0.5000 0.0000  4 Pt 2.58
Ge: 0.0000 0.0000 0.0000  4 Pt 2.58
Ge: 0.5000 0.0000 0.6267  3 Pt 2.43-2.46, 2 Mn 2.46
Ge: 0.0000 0.5000 0.3733  3 Pt 2.43-2.46, 2 Mn 2.46
Pt: 0.0000 0.0000 0.5000  4 Ge 2.46
Pt: 0.5000 0.0000 0.8547  5 Ge 2.43-2.58
Pt: 0.0000 0.5000 0.1453  5 Ge 2.43-2.58

The magnetic moment comes out at 0.0 μB per cell. The calculation puts the energy of formation at -0.646 eV per atom.

***

11.
A plane-wave DFT calculation with PBE was carried out for a relaxed Th3Si2SnRh9 crystal.

abc: 5.9613 5.9613 9.8847
angles: 90.00 90.00 120.00
Closest atoms and distances in Å follow each position.
Element x y z (fractional)
Th: 0.3333 0.6667 0.7207  9 Rh 2.98-3.25
Th: 0.0000 0.0000 0.0000  12 Rh 2.98-3.21
Th: 0.6667 0.3333 0.2793  9 Rh 2.98-3.25
Si: 0.3333 0.6667 0.1570  6 Rh 2.24-2.32
Si: 0.6667 0.3333 0.8430  6 Rh 2.24-2.32
Sn: 0.0000 0.0000 0.5000  6 Rh 2.67
Rh: 0.8467 0.1533 0.7170  1 Si 2.24
Rh: 0.8467 0.6934 0.7170  1 Si 2.24
Rh: 0.3066 0.1533 0.7170  1 Si 2.24
Rh: 0.6934 0.8467 0.2830  1 Si 2.24
Rh: 0.1533 0.3066 0.2830  1 Si 2.24
Rh: 0.1533 0.8467 0.2830  1 Si 2.24
Rh: 0.5000 0.0000 0.0000  2 Si 2.32
Rh: 0.0000 0.5000 0.0000  2 Si 2.32
Rh: 0.5000 0.5000 0.0000  2 Si 2.32

The magnetic moment comes out at 0.0 μB per cell. The formation energy (no corrections) is -67 kJ per mole of atoms.

***

12.
A plane-wave DFT calculation with PBE was carried out for a relaxed RbTiTc2 crystal.

abc: 4.6718 4.6718 4.6718
angles: 60.00 60.00 60.00
Closest atoms and distances in Å follow each position.
Element x y z (fractional)
Tc: 0.2500 0.2500 0.2500  4 Rb 2.86, 4 Ti 2.86
Tc: 0.7500 0.7500 0.7500  4 Rb 2.86, 4 Ti 2.86
Rb: 0.5000 0.5000 0.5000  8 Tc 2.86
Ti: 0.0000 0.0000 0.0000  8 Tc 2.86

The magnetic moment comes out at 0.0 μB per cell. The calculation puts the energy of formation at 1.487 eV per atom. Its relative energy among the computed polymorphs is 82 meV/atom.

***

no.,uncorrected energy (eV per cell)
1,-11.953
2,-67.941
3,-20.576
4,-22.262
5,-125.045
6,-24.722
7,-95.907
8,-24.561
9,-21.340
10,-71.217
11,-113.611
12,-23.648